[1]
Here is a geometry-optimized SbTe2Pb structure from the Alexandria database. Energies are from GGA-PBE.

CIF file:
```
data_SbTe2Pb
_symmetry_space_group_name_H-M 'P 1'
_symmetry_Int_Tables_number 1
_cell_length_a 3.1753
_cell_length_b 3.1753
_cell_length_c 12.9917
_cell_angle_alpha 90.00
_cell_angle_beta 90.00
_cell_angle_gamma 97.45
loop_
_symmetry_equiv_pos_as_xyz
'x,y,z'
loop_
_atom_site_label
_atom_site_fract_x
_atom_site_fract_y
_atom_site_fract_z
Sb1 0.0000 0.0000 0.0000
Te1 0.0000 0.0000 0.5681
Te2 0.5000 0.5000 0.2615
Pb1 0.5000 0.5000 0.7978
```

Calculated values
- Density of states at the Fermi level: 2.33 states/eV/cell
- ΔE_f (raw): 160 meV per atom
- ρ: 7.5 g cm⁻³


[2]
Here is a geometry-optimized ZrSb2ICl structure from the Alexandria database. Energies are from GGA-PBE.

CIF file:
```
data_ZrSb2ICl
_symmetry_space_group_name_H-M 'P 1'
_symmetry_Int_Tables_number 1
_cell_length_a 5.0601
_cell_length_b 5.0601
_cell_length_c 6.1673
_cell_angle_alpha 90.00
_cell_angle_beta 90.00
_cell_angle_gamma 90.00
loop_
_symmetry_equiv_pos_as_xyz
'x,y,z'
loop_
_atom_site_label
_atom_site_fract_x
_atom_site_fract_y
_atom_site_fract_z
Zr1 0.0000 0.0000 0.0000
Sb1 0.0000 0.5000 0.5000
Sb2 0.5000 0.0000 0.5000
I1 0.5000 0.5000 0.0000
Cl1 0.5000 0.5000 0.5000
```

Calculated values
- Density of states at the Fermi level: 5.58 states/eV/cell
- ΔE_f (raw): 724 meV per atom
- ρ: 5.2 g cm⁻³
- Excess energy over the best structure of this formula in the dataset: 0.7310 eV per atom